Entry 1:
VASP calculation (GGA-PBE) on MnNbH3 after structural relaxation.

## Properties
calculated volume	7.47	Å³ per atom
space-group type	C2/c (15)
total energy	-5.870	eV/atom
DOS at the Fermi energy	0.42	states/eV/atom

Cell lengths 4.6590, 5.7113, 5.7113 Å; angles 87.37, 82.57, 82.57 degrees
With the nearest neighbours (Å) after each atom.
Positions (direct):
H 0.3391 0.4536 0.2023  1 Mn 1.65
H 0.4849 0.0932 0.6812  2 Mn 1.69-1.74
H 0.8391 0.2023 0.4536  1 Mn 1.65
H 0.5412 0.2027 0.0207  3 Mn 1.75-1.84, 1 H 1.88
H 0.9588 0.9793 0.7973  3 Mn 1.75-1.84, 1 H 1.88
H 0.0151 0.3188 0.9068  2 Mn 1.69-1.74
H 0.5151 0.9068 0.3188  2 Mn 1.69-1.74
H 0.1609 0.7977 0.5464  1 Mn 1.65
Nb 0.2658 0.1947 0.4278  5 H 1.90-2.11
H 0.4588 0.7973 0.9793  3 Mn 1.75-1.84, 1 H 1.88
Mn 0.2500 0.0690 0.9310  6 H 1.69-1.78
Mn 0.2500 0.7343 0.2657  6 H 1.65-1.84
Nb 0.2342 0.5722 0.8053  5 H 1.90-2.11
Mn 0.7500 0.9310 0.0690  6 H 1.69-1.78
Nb 0.7658 0.4278 0.1947  5 H 1.90-2.11
H 0.9849 0.6812 0.0932  2 Mn 1.69-1.74
Nb 0.7342 0.8053 0.5722  5 H 1.90-2.11
Mn 0.7500 0.2657 0.7343  6 H 1.65-1.84
H 0.0412 0.0207 0.2027  3 Mn 1.75-1.84, 1 H 1.88
H 0.6609 0.5464 0.7977  1 Mn 1.65

=====

Entry 2:
VASP calculation (GGA-PBE) on Cd3CI after structural relaxation.

## Properties
calculated volume	23.16	Å³ per atom
space-group type	Pm-3m (221)
total energy	-2.120	eV/atom
energy relative to the elements, uncorrected	0.584	eV/atom
DOS at the Fermi energy	0.46	states/eV/atom

Cell lengths 4.8742, 4.8742, 4.8742 Å; angles 90.00, 90.00, 90.00 degrees
With the nearest neighbours (Å) after each atom.
Positions (direct):
Cd 0.5000 0.0000 0.0000  2 C 2.44
I 0.5000 0.5000 0.5000  12 Cd 3.45
C 0.0000 0.0000 0.0000  6 Cd 2.44
Cd 0.0000 0.0000 0.5000  2 C 2.44
Cd 0.0000 0.5000 0.0000  2 C 2.44

=====

Entry 3:
VASP calculation (GGA-PBE) on Y4AgRh after structural relaxation.

## Properties
energy of formation	-256	meV/atom
calculated volume	28.31	Å³ per atom
space-group type	C2/m (12)
total energy	-6.265	eV/atom
DOS at the Fermi energy	1.44	states/eV/atom

Cell lengths 4.9186, 4.9207, 7.0187 Å; angles 89.89, 89.93, 90.00 degrees
With the nearest neighbours (Å) after each atom.
Positions (direct):
Y 0.0016 0.4978 0.7341  2 Rh 2.96-2.97, 2 Ag 3.08, 1 Y 3.31
Y 0.5010 0.9967 0.2621  2 Rh 2.96-2.97, 2 Ag 3.08, 1 Y 3.31
Y 0.5016 0.9979 0.7341  2 Rh 2.96-2.97, 2 Ag 3.08, 1 Y 3.31
Y 0.0010 0.4967 0.2622  2 Rh 2.96-2.97, 2 Ag 3.08, 1 Y 3.31
Rh 0.0013 0.9974 0.4982  8 Y 2.96-2.97
Ag 0.5013 0.4973 0.9981  8 Y 3.08

=====

Entry 4:
VASP calculation (GGA-PBE) on RbZr3Be after structural relaxation.

## Properties
energy of formation	903	meV/atom
calculated volume	25.26	Å³ per atom
space-group type	Pm-3m (221)
total energy	-5.165	eV/atom
DOS at the Fermi energy	1.00	states/eV/atom

Cell lengths 5.0171, 5.0171, 5.0171 Å; angles 90.00, 90.00, 90.00 degrees
With the nearest neighbours (Å) after each atom.
Positions (direct):
Be 0.0000 0.0000 0.0000  6 Zr 2.51
Zr 0.0000 0.5000 0.0000  2 Be 2.51
Rb 0.5000 0.5000 0.5000  12 Zr 3.55
Zr 0.0000 0.0000 0.5000  2 Be 2.51
Zr 0.5000 0.0000 0.0000  2 Be 2.51

=====

Entry 5:
VASP calculation (GGA-PBE) on Tb2YHo4 after structural relaxation.

## Properties
energy of formation	137	meV/atom
calculated volume	31.68	Å³ per atom
space-group type	P2_1/m (11)
total energy	-4.725	eV/atom
DOS at the Fermi energy	1.76	states/eV/atom

Cell lengths 6.0958, 6.5442, 11.4942 Å; angles 90.00, 104.68, 90.00 degrees
With the nearest neighbours (Å) after each atom.
Positions (direct):
Ho 0.6511 0.9957 0.2886  5 Ho 3.22-3.49, 1 Y 3.43, 2 Tb 3.47-3.55
Tb 0.7089 0.7500 0.5704  9 Ho 3.33-3.55
Y 0.8473 0.2500 0.8439  6 Ho 3.31-3.43, 2 Tb 3.40-3.69
Tb 0.2911 0.2500 0.4296  9 Ho 3.33-3.55
Ho 0.9778 0.2500 0.1470  2 Ho 3.32, 3 Tb 3.33-3.50, 3 Y 3.37-3.43
Ho 0.6511 0.5043 0.2886  5 Ho 3.22-3.49, 1 Y 3.43, 2 Tb 3.47-3.55
Tb 0.6026 0.7500 0.9938  6 Ho 3.36-3.69, 2 Y 3.40-3.69, 2 Tb 3.52
Ho 0.8533 0.2500 0.5567  1 Y 3.31, 4 Tb 3.35-3.40, 4 Ho 3.44-3.49
Ho 0.1467 0.7500 0.4433  1 Y 3.31, 4 Tb 3.35-3.40, 4 Ho 3.44-3.49
Y 0.1527 0.7500 0.1561  6 Ho 3.31-3.43, 2 Tb 3.40-3.69
Ho 0.3489 0.4957 0.7114  5 Ho 3.22-3.49, 1 Y 3.43, 2 Tb 3.47-3.55
Tb 0.3974 0.2500 0.0062  6 Ho 3.36-3.69, 2 Y 3.40-3.69, 2 Tb 3.52
Ho 0.0222 0.7500 0.8530  2 Ho 3.32, 3 Tb 3.33-3.50, 3 Y 3.37-3.43
Ho 0.3489 0.0043 0.7114  5 Ho 3.22-3.49, 1 Y 3.43, 2 Tb 3.47-3.55

=====

Entry 6:
VASP calculation (GGA-PBE) on As2CS2 after structural relaxation.

## Properties
calculated volume	23.43	Å³ per atom
space-group type	I4/mmm (139)
total energy	-4.435	eV/atom
energy relative to the elements, uncorrected	0.921	eV/atom
DOS at the Fermi energy	0.69	states/eV/atom

Cell lengths 6.3875, 6.3875, 5.3520 Å; angles 53.36, 53.36, 90.00 degrees
With the nearest neighbours (Å) after each atom.
Positions (direct):
As 0.7500 0.2500 0.5000  2 As 2.87, 4 S 3.20
As 0.2500 0.7500 0.5000  2 As 2.87, 4 S 3.20
S 0.7336 0.7336 0.5328  1 C 1.53
C 0.0000 0.0000 0.0000  2 S 1.53
S 0.2664 0.2664 0.4672  1 C 1.53

=====

Please write out number 4 again, unchanged.
VASP calculation (GGA-PBE) on RbZr3Be after structural relaxation.

## Properties
energy of formation	903	meV/atom
calculated volume	25.26	Å³ per atom
space-group type	Pm-3m (221)
total energy	-5.165	eV/atom
DOS at the Fermi energy	1.00	states/eV/atom

Cell lengths 5.0171, 5.0171, 5.0171 Å; angles 90.00, 90.00, 90.00 degrees
With the nearest neighbours (Å) after each atom.
Positions (direct):
Be 0.0000 0.0000 0.0000  6 Zr 2.51
Zr 0.0000 0.5000 0.0000  2 Be 2.51
Rb 0.5000 0.5000 0.5000  12 Zr 3.55
Zr 0.0000 0.0000 0.5000  2 Be 2.51
Zr 0.5000 0.0000 0.0000  2 Be 2.51

=====

Question: Among the records above, which one has the lowest total energy?
Answer: Y4AgRh